# 1
Entry from Alexandria: a geometry-optimized LiBePt2 structure (GGA-PBEsol).

```
data_LiBePt2
_chemical_formula_sum 'Li4 Be4 Pt8'
_cell_length_a 5.939
_cell_length_b 5.939
_cell_length_c 5.939
_cell_angle_alpha 90.00
_cell_angle_beta 90.00
_cell_angle_gamma 90.00
_symmetry_space_group_name_H-M 'F -4 3 m'
_symmetry_Int_Tables_number 216
_symmetry_space_group_name_Hall 'F -4 2 3'
loop_
_atom_site_label
_atom_site_type_symbol
_atom_site_fract_x
_atom_site_fract_y
_atom_site_fract_z
_atom_site_occupancy
Li1 Li 0.000 0.000 0.000 1
Be1 Be 0.250 0.250 0.250 1
Pt1 Pt 0.000 0.000 0.500 1
Pt2 Pt 0.250 0.250 0.750 1
```

Results
E_tot	-5.228	eV/atom
E_form	-0.255	eV per atom
magnetization	0.00	μB/f.u.


# 2
Entry from Alexandria: a geometry-optimized LiBePt2 structure (GGA-PBEsol).

```
data_LiBePt2
_chemical_formula_sum 'Li1 Be1 Pt2'
_cell_length_a 4.021
_cell_length_b 4.021
_cell_length_c 2.842
_cell_angle_alpha 90.00
_cell_angle_beta 90.00
_cell_angle_gamma 90.00
_symmetry_space_group_name_H-M 'P 4/m m m'
_symmetry_Int_Tables_number 123
_symmetry_space_group_name_Hall '-P 4 2'
loop_
_atom_site_label
_atom_site_type_symbol
_atom_site_fract_x
_atom_site_fract_y
_atom_site_fract_z
_atom_site_occupancy
Li1 Li 0.000 0.000 0.000 1
Be1 Be 0.500 0.500 0.000 1
Pt1 Pt 0.000 0.500 0.500 1
```

Results
E_tot	-5.642	eV/atom
E_form	-0.668	eV per atom
magnetization	0.00	μB/f.u.


Which of these has the highest E_tot?
number 1


Which value of E_form does entry 2 give?
-0.668 eV per atom


Copy entry 2 word for word.
Entry from Alexandria: a geometry-optimized LiBePt2 structure (GGA-PBEsol).

```
data_LiBePt2
_chemical_formula_sum 'Li1 Be1 Pt2'
_cell_length_a 4.021
_cell_length_b 4.021
_cell_length_c 2.842
_cell_angle_alpha 90.00
_cell_angle_beta 90.00
_cell_angle_gamma 90.00
_symmetry_space_group_name_H-M 'P 4/m m m'
_symmetry_Int_Tables_number 123
_symmetry_space_group_name_Hall '-P 4 2'
loop_
_atom_site_label
_atom_site_type_symbol
_atom_site_fract_x
_atom_site_fract_y
_atom_site_fract_z
_atom_site_occupancy
Li1 Li 0.000 0.000 0.000 1
Be1 Be 0.500 0.500 0.000 1
Pt1 Pt 0.000 0.500 0.500 1
```

Results
E_tot	-5.642	eV/atom
E_form	-0.668	eV per atom
magnetization	0.00	μB/f.u.